An optimized crystal structure of ZnRePb2. Source: Alexandria via LeMat-Bulk, functional PBE-GGA.

Cell lengths 10.624, 10.624, 10.624 Å; angles 17.37, 17.37, 17.37 degrees
Sites, in units of the cell vectors:
Zn 0.000 0.000 0.000
Re 0.500 0.500 0.500
Pb 0.239 0.239 0.239
Pb 0.761 0.761 0.761

Summary:
The density of states at the Fermi level comes out at 0.466 states/eV/atom. As for the symmetry: No. 166. The total DFT energy (no corrections) is -4.56 eV/atom.

***

An optimized crystal structure of ZnRe2Pb. Source: Alexandria via LeMat-Bulk, functional PBE-GGA.

Cell lengths 9.966, 9.966, 9.966 Å; angles 156.65, 156.65, 33.26 degrees
Sites, in units of the cell vectors:
Zn 0.000 0.000 0.000
Zn 0.750 0.250 0.500
Re 0.045 0.625 0.920
Re 0.375 0.295 0.420
Re 0.705 0.125 0.080
Re 0.875 0.955 0.580
Pb 0.250 0.750 0.500
Pb 0.500 0.500 0.000

Summary:
The calculation puts the polymorph energy (0 for the lowest one) at 0.4950 eV per atom. The density of states at the Fermi level comes out at 0.579 states/eV/atom. As for the symmetry: No. 122.

***

An optimized crystal structure of ZnRe2Pb. Source: Alexandria via LeMat-Bulk, functional PBE-GGA.

Cell lengths 2.931, 4.022, 6.274 Å; angles 90.00, 90.00, 90.00 degrees
Sites, in units of the cell vectors:
Zn 0.000 0.000 0.000
Re 0.500 0.500 0.185
Re 0.500 0.500 0.815
Pb 0.000 0.000 0.500

Summary:
The calculation puts the polymorph energy (0 for the lowest one) at 0.5248 eV per atom. The density of states at the Fermi level comes out at 0.579 states/eV/atom. As for the symmetry: No. 47.

***

An optimized crystal structure of ZnRe2Pb. Source: Alexandria via LeMat-Bulk, functional PBE-GGA.

Cell lengths 3.417, 4.662, 5.063 Å; angles 90.00, 96.68, 90.00 degrees
Sites, in units of the cell vectors:
Zn 0.000 0.000 0.000
Re 0.299 0.500 0.170
Re 0.701 0.500 0.830
Pb 0.500 0.000 0.500

Summary:
The calculation puts the polymorph energy (0 for the lowest one) at 0.4234 eV per atom. The density of states at the Fermi level comes out at 0.673 states/eV/atom. As for the symmetry: No. 10.

***

An optimized crystal structure of ZnRe2Pb. Source: Alexandria via LeMat-Bulk, functional PBE-GGA.

Cell lengths 5.017, 5.017, 3.008 Å; angles 90.00, 90.00, 114.42 degrees
Sites, in units of the cell vectors:
Zn 0.000 0.000 0.000
Re 0.000 0.500 0.500
Re 0.500 0.000 0.500
Pb 0.500 0.500 0.000

Summary:
The calculation puts the polymorph energy (0 for the lowest one) at 0.7596 eV per atom. The density of states at the Fermi level comes out at 1.161 states/eV/atom. As for the symmetry: No. 65.

***

An optimized crystal structure of Zn2RePb2. Source: Alexandria via LeMat-Bulk, functional PBE-GGA.

Cell lengths 6.921, 6.921, 6.921 Å; angles 143.09, 143.09, 53.19 degrees
Sites, in units of the cell vectors:
Zn 0.092 0.092 0.000
Zn 0.908 0.908 0.000
Re 0.500 0.500 0.000
Pb 0.250 0.750 0.500
Pb 0.750 0.250 0.500

Summary:
The density of states at the Fermi level comes out at 0.645 states/eV/atom. As for the symmetry: No. 139. The total DFT energy (no corrections) is -3.25 eV/atom.

***

An optimized crystal structure of ZnRe2Pb. Source: Alexandria via LeMat-Bulk, functional PBE-GGA.

Cell lengths 2.775, 2.775, 9.321 Å; angles 90.00, 90.00, 90.00 degrees
Sites, in units of the cell vectors:
Zn 0.000 0.000 0.000
Re 0.500 0.500 0.214
Re 0.500 0.500 0.786
Pb 0.000 0.000 0.500

Summary:
The calculation puts the polymorph energy (0 for the lowest one) at 0.7807 eV per atom. The density of states at the Fermi level comes out at 1.190 states/eV/atom. As for the symmetry: No. 123.

***

An optimized crystal structure of ZnRePb2. Source: Alexandria via LeMat-Bulk, functional PBE-GGA.

Cell lengths 5.374, 5.374, 5.374 Å; angles 138.26, 123.80, 72.39 degrees
Sites, in units of the cell vectors:
Zn 0.000 0.000 0.000
Re 0.500 0.500 0.000
Pb 0.245 0.745 0.500
Pb 0.755 0.255 0.500

Summary:
The density of states at the Fermi level comes out at 0.783 states/eV/atom. As for the symmetry: No. 71. The total DFT energy (no corrections) is -4.39 eV/atom.